No. 1
First-principles (GGA-PBE) data for an optimized crystal structure of Nd3SmYEr, as listed in Alexandria via LeMat-Bulk.

```
data_Nd3SmYEr
_symmetry_space_group_name_H-M 'P 1'
_symmetry_Int_Tables_number 1
_symmetry_space_group_name_Hall 'P 1'
_cell_length_a 6.3700
_cell_length_b 6.3700
_cell_length_c 11.9896
_cell_angle_alpha 90.00
_cell_angle_beta 90.00
_cell_angle_gamma 123.65
loop_
_atom_site_label
_atom_site_fract_x
_atom_site_fract_y
_atom_site_fract_z
Nd1 0.1633 0.8367 0.5071
Nd2 0.1633 0.8367 0.9929
Nd3 0.3332 0.6668 0.2500
Nd4 0.6668 0.3332 0.7500
Nd5 0.8367 0.1633 0.0071
Nd6 0.8367 0.1633 0.4929
Sm1 0.5000 0.5000 0.0000
Sm2 0.5000 0.5000 0.5000
Y1 0.3403 0.6597 0.7500
Y2 0.6597 0.3403 0.2500
Er1 0.0081 0.9919 0.2500
Er2 0.9919 0.0081 0.7500
```

Properties
DOS(E_F): 1.97 states/eV per atom
E: -4.895 eV/atom
formation enthalpy at 0 K: 113 meV/atom

No. 2
First-principles (GGA-PBE) data for an optimized crystal structure of HfMg3Se, as listed in Alexandria via LeMat-Bulk.

```
data_HfMg3Se
_symmetry_space_group_name_H-M 'P 1'
_symmetry_Int_Tables_number 1
_symmetry_space_group_name_Hall 'P 1'
_cell_length_a 5.6491
_cell_length_b 5.6491
_cell_length_c 5.6491
_cell_angle_alpha 90.00
_cell_angle_beta 90.00
_cell_angle_gamma 90.00
loop_
_atom_site_label
_atom_site_fract_x
_atom_site_fract_y
_atom_site_fract_z
Hf1 0.0000 0.0000 0.0000
Mg1 0.0000 0.0000 0.5000
Mg2 0.0000 0.5000 0.0000
Mg3 0.5000 0.0000 0.0000
Se1 0.5000 0.5000 0.5000
```

Properties
DOS(E_F): 0.59 states/eV per atom
E: -2.464 eV/atom
polymorph energy (0 for the lowest one): 767 meV per atom
E_form (uncorrected): 1.180 eV per atom

No. 3
First-principles (GGA-PBE) data for an optimized crystal structure of Mg2CdPt, as listed in Alexandria via LeMat-Bulk.

```
data_Mg2CdPt
_symmetry_space_group_name_H-M 'P 1'
_symmetry_Int_Tables_number 1
_symmetry_space_group_name_Hall 'P 1'
_cell_length_a 7.7501
_cell_length_b 7.7501
_cell_length_c 5.6350
_cell_angle_alpha 90.00
_cell_angle_beta 90.00
_cell_angle_gamma 90.00
loop_
_atom_site_label
_atom_site_fract_x
_atom_site_fract_y
_atom_site_fract_z
Mg1 0.1989 0.2500 0.1250
Mg2 0.2500 0.6989 0.3750
Mg3 0.2500 0.8011 0.8750
Mg4 0.3011 0.2500 0.6250
Mg5 0.6989 0.7500 0.6250
Mg6 0.7500 0.1989 0.8750
Mg7 0.7500 0.3011 0.3750
Mg8 0.8011 0.7500 0.1250
Cd1 0.0000 0.0000 0.5000
Cd2 0.0000 0.5000 0.7500
Cd3 0.5000 0.0000 0.2500
Cd4 0.5000 0.5000 0.0000
Pt1 0.0000 0.0000 0.0000
Pt2 0.0000 0.5000 0.2500
Pt3 0.5000 0.0000 0.7500
Pt4 0.5000 0.5000 0.5000
```

Properties
DOS(E_F): 0.27 states/eV per atom
E: -2.764 eV/atom
formation enthalpy at 0 K: -228 meV/atom

No. 4
First-principles (GGA-PBE) data for an optimized crystal structure of Cs2Rb2H, as listed in Alexandria via LeMat-Bulk.

```
data_Cs2Rb2H
_symmetry_space_group_name_H-M 'P 1'
_symmetry_Int_Tables_number 1
_symmetry_space_group_name_Hall 'P 1'
_cell_length_a 8.8950
_cell_length_b 8.8950
_cell_length_c 9.5626
_cell_angle_alpha 90.00
_cell_angle_beta 90.00
_cell_angle_gamma 90.00
loop_
_atom_site_label
_atom_site_fract_x
_atom_site_fract_y
_atom_site_fract_z
Cs1 0.2221 0.2779 0.0000
Cs2 0.2779 0.7779 0.0000
Cs3 0.7221 0.2221 0.0000
Cs4 0.7779 0.7221 0.0000
Rb1 0.1804 0.6804 0.5000
Rb2 0.3196 0.1804 0.5000
Rb3 0.6804 0.8196 0.5000
Rb4 0.8196 0.3196 0.5000
H1 0.0000 0.0000 0.0000
H2 0.5000 0.5000 0.0000
```

Properties
DOS(E_F): 0.81 states/eV per atom
E: -1.327 eV/atom
polymorph energy (0 for the lowest one): 98 meV per atom

No. 5
First-principles (GGA-PBE) data for an optimized crystal structure of NiTe4Ir, as listed in Alexandria via LeMat-Bulk.

```
data_NiTe4Ir
_symmetry_space_group_name_H-M 'P 1'
_symmetry_Int_Tables_number 1
_symmetry_space_group_name_Hall 'P 1'
_cell_length_a 5.3870
_cell_length_b 3.9745
_cell_length_c 6.8354
_cell_angle_alpha 90.00
_cell_angle_beta 90.26
_cell_angle_gamma 90.00
loop_
_atom_site_label
_atom_site_fract_x
_atom_site_fract_y
_atom_site_fract_z
Ni1 0.0000 0.0000 0.0000
Te1 0.2356 0.5000 0.8419
Te2 0.2549 0.0000 0.3340
Te3 0.7451 0.0000 0.6660
Te4 0.7644 0.5000 0.1581
Ir1 0.0000 0.5000 0.5000
```

Properties
DOS(E_F): 0.43 states/eV per atom
E: -4.783 eV/atom
polymorph energy (0 for the lowest one): 0 meV per atom
E_form (uncorrected): -0.248 eV per atom